(1)
VASP calculation (GGA-PBE) on CePmHoTh after structural relaxation.

a b c (Å): 3.5589 3.5589 11.6675
angles (deg): 90.00 98.78 120.00
Fractional positions:
Th  0.1318  0.9638  0.1108
Pm  0.9679  0.3817  0.3649
Ce  0.3039  0.5501  0.8699
Ho  0.4743  0.1351  0.6241

## Properties
Electronic total energy ... -5.633 eV per atom
Calculated formation energy ... 0.038 eV/atom
Energy above the lowest structure with this stoichiometry ... 0 meV per atom

(2)
VASP calculation (GGA-PBE) on BAu3 after structural relaxation.

a b c (Å): 4.5198 4.5198 4.5198
angles (deg): 60.00 60.00 60.00
Fractional positions:
Au  0.7500  0.7500  0.7500
Au  0.5000  0.5000  0.5000
Au  0.2500  0.2500  0.2500
B  0.0000  0.0000  0.0000

## Properties
Electronic total energy ... -3.243 eV per atom
Calculated formation energy ... 0.884 eV/atom